Record 1
A plane-wave DFT calculation with PBE was carried out for a relaxed Sn2IrW crystal.

Geometry as POSCAR:
```
Sn2IrW
1.0
0.0000 3.3497 3.3497
3.3497 0.0000 3.3497
3.3497 3.3497 0.0000
Ir Sn W
1 2 1
Cartesian
1.6748 1.6748 1.6748
0.0000 0.0000 0.0000
5.0245 5.0245 5.0245
3.3497 3.3497 3.3497
```

## Properties
Total magnetization ... 0.012 Bohr magnetons per cell
Total energy ... -6.78 eV/atom
SG ... F-43m (216)



Record 2
A plane-wave DFT calculation with PBE was carried out for a relaxed AlGaHgSe2S2 crystal.

Geometry as POSCAR:
```
AlGaHgSe2S2
1.0
-0.8543 -1.8169 5.4028
0.7066 -5.4628 -1.7293
5.2743 3.8860 -0.8931
Al Ga Hg S Se
1 1 1 2 2
Cartesian
2.9393 -2.6195 -0.3186
5.2030 0.2064 0.9260
0.7104 -5.4435 -1.7200
1.6749 -4.3523 0.4469
3.7836 -1.5341 1.4950
1.0622 -2.6893 3.7450
3.7404 1.8200 -0.1922
```

## Properties
Total energy ... -3.82 eV/atom
SG ... P1 (1)



Record 3
A plane-wave DFT calculation with PBE was carried out for a relaxed GdFeIr crystal.

Geometry as POSCAR:
```
GdFeIr
1.0
-4.3525 -1.1594 -0.0189
-3.0141 2.5298 2.1917
-2.9774 2.4655 -2.3120
Fe Gd Ir
1 1 1
Cartesian
0.0000 0.0000 0.0000
-5.1720 1.9179 -0.0696
-2.5860 0.9590 -0.0348
```

## Properties
Total magnetization ... 3.564 Bohr magnetons per cell
Energy of formation from the pure elements ... 0.1 eV/f.u.
SG ... F-43m (216)



Record 4
A plane-wave DFT calculation with PBE was carried out for a relaxed Sm5Tl4Ag crystal.

Geometry as POSCAR:
```
Sm5Tl4Ag
1.0
3.6786 0.0000 0.0000
0.0000 3.6786 0.0000
0.0000 0.0000 20.7183
Ag Sm Tl
1 5 4
Cartesian
0.0000 0.0000 0.0000
1.8393 1.8393 1.8878
1.8393 1.8393 6.1167
1.8393 1.8393 10.3592
1.8393 1.8393 14.6016
1.8393 1.8393 18.8306
0.0000 0.0000 3.9728
0.0000 0.0000 8.2333
0.0000 0.0000 12.4850
0.0000 0.0000 16.7456
```

## Properties
Total magnetization ... 0.305 Bohr magnetons per cell
Total energy ... -3.95 eV/atom
SG ... P4/mmm (123)



Record 5
A plane-wave DFT calculation with PBE was carried out for a relaxed SrPmPb crystal.

Geometry as POSCAR:
```
SrPmPb
1.0
0.0000 3.8770 3.8770
3.8770 0.0000 3.8770
3.8770 3.8770 0.0000
Pb Pm Sr
1 1 1
Cartesian
0.0000 0.0000 0.0000
1.9385 1.9385 1.9385
5.8155 5.8155 5.8155
```

## Properties
Total magnetization ... 0.015 Bohr magnetons per cell
Total energy ... -3.66 eV/atom
SG ... F-43m (216)



Record 6
A plane-wave DFT calculation with PBE was carried out for a relaxed LiGdFeSe3 crystal.

Geometry as POSCAR:
```
LiGdFeSe3
1.0
-5.2934 -4.0319 -4.2095
2.6960 -2.8153 -0.6938
-1.4871 -3.5884 8.7827
Fe Gd Li Se
2 2 2 6
Cartesian
-2.4583 -3.2945 -1.8327
-1.6262 -7.1410 5.7121
-2.9367 -6.7184 -1.0954
-1.1478 -3.7172 4.9749
-0.3296 -4.8132 1.3048
-3.7549 -5.6223 2.5747
-1.9262 -5.1886 -3.3763
-2.8685 -4.2361 0.3939
-0.4043 -2.3925 2.4887
-3.6801 -8.0430 1.3907
-1.2160 -6.1995 3.4855
-2.1583 -5.2469 7.2557
```

## Properties
Total magnetization ... 7.463 Bohr magnetons per cell
Offset from the most stable computed form ... 0 meV per atom
SG ... P2_1/m (11)